4
Lattice="2.382 -3.607 0.000 2.382 3.607 0.000 0.000 0.000 14.993" Properties=species:S:1:pos:R:3 comment="K2BaSr, optimized geometry, DFT PBE" rho_g_cm3=1.954 m_tot_mub_per_fu=0.00 final_energy_ev_per_cell=-5.596 pbc="T T T"
K 0.000 0.000 0.000
K 2.382 0.000 3.967
Ba 2.382 0.000 11.151
Sr 0.000 0.000 7.696